2
Lattice="-0.9354 3.6841 0.4390 -1.1630 0.1387 -3.6426 -3.5232 -1.0240 1.0858" Properties=species:S:1:pos:R:3 comment="PaBi, relaxed, DFT PBE" magnetic_moment_mub_per_cell=1.2 de_polymorph_kj_per_mol_fu=0 ef_kj_per_mol_atoms=-9.7 crystal_system=cubic dos_ef_per_ev_fu=4.65 pbc="T T T"
Bi -2.8108 1.3994 -1.0589
Pa 0.0000 0.0000 0.0000